A relaxed VRhO2 crystal, computed with GGA+U.

## Properties
Total DFT energy (no corrections): -7.43 eV/atom
Polymorph energy (0 for the lowest one): 0.0 meV per atom

a b c (Å): 2.9796 2.9796 18.5297
angles (deg): 90.00 90.00 120.00
Space group R-3m (No. 166, hexagonal axes)
Inequivalent atoms, fractional coordinates:
V (0.0000, 0.0000, 0.0000) [3 per cell]
Rh (0.0000, 0.0000, 0.5000) [3 per cell]
O (0.0000, 0.0000, 0.3904) [6 per cell]